1.
Material: KNa4Bi2
Method: DFT, PBE
State: optimized geometry

abc: 5.735 16.330 5.750
angles: 90.00 90.00 90.00
Space group Cmmm (No. 65)
Unique sites:
K (0.000, 0.000, 0.000) (multiplicity 2)
Na (0.000, 0.183, 0.500) (multiplicity 4)
Na (0.000, 0.329, 0.000) (multiplicity 4)
Bi (0.000, 0.401, 0.500) (multiplicity 4)

Total moment (μB/cell): 0.000
E above lowest polymorph (meV/atom): 0.0
ρ (Mg/m³): 3.39
DFT formation energy (eV/f.u.): -1.60


2.
Material: KNa3Bi
Method: DFT, PBE
State: optimized geometry

abc: 7.184 5.662 9.883
angles: 90.00 111.28 90.00
Space group P2_1/m (No. 11)
Unique sites:
K (0.090, 0.250, 0.173) (multiplicity 2)
Na (0.056, 0.250, 0.600) (multiplicity 2)
Na (0.463, 0.250, 0.915) (multiplicity 2)
Na (0.467, 0.750, 0.405) (multiplicity 2)
Bi (0.351, 0.750, 0.706) (multiplicity 2)

Total moment (μB/cell): 0.810
E above lowest polymorph (meV/atom): 0.0
ρ (Mg/m³): 2.81
DFT formation energy (eV/f.u.): -1.26


3.
Material: KNa4Bi2
Method: DFT, PBE
State: optimized geometry

abc: 4.666 4.666 22.560
angles: 90.00 90.00 90.00
Space group I4/mmm (No. 139)
Unique sites:
K (0.000, 0.000, 0.000) (multiplicity 2)
Na (0.000, 0.000, 0.143) (multiplicity 4)
Na (0.000, 0.500, 0.250) (multiplicity 4)
Bi (0.000, 0.000, 0.361) (multiplicity 4)

Total moment (μB/cell): 0.000
E above lowest polymorph (meV/atom): 13.8
ρ (Mg/m³): 3.71
DFT formation energy (eV/f.u.): -1.50


4.
Material: KNa3Bi
Method: DFT, PBE
State: optimized geometry

abc: 8.796 9.168 11.029
angles: 90.00 100.03 90.00
Space group P2_1/c (No. 14)
Unique sites:
K (0.214, 0.052, 0.226) (multiplicity 4)
Na (0.108, 0.661, 0.038) (multiplicity 4)
Na (0.370, 0.569, 0.371) (multiplicity 4)
Na (0.419, 0.106, 0.597) (multiplicity 4)
Bi (0.448, 0.744, 0.631) (multiplicity 4)

Total moment (μB/cell): 0.000
E above lowest polymorph (meV/atom): 24.0
ρ (Mg/m³): 2.40
DFT formation energy (eV/f.u.): -1.14